Compound: ThS
Source: OQMD via LeMat-Bulk
Functional: PBE
Structure: optimized geometry

Cell: 4.495 4.495 4.495 Å, 60.00 60.00 60.00°
Element x y z (fractional)
Th (0.250, 0.250, 0.250)
S (0.000, 0.000, 0.000)

Calculated values
The space group is F-43m (216). The calculation puts the energy at -6.86 eV/atom.



Compound: RbLa2CuTeS3
Source: OQMD via LeMat-Bulk
Functional: PBE
Structure: optimized geometry

Cell: 7.669 7.669 14.503 Å, 90.00 90.00 147.76°
Element x y z (fractional)
La (0.633, 0.367, 0.950)
La (0.367, 0.633, 0.450)
La (0.367, 0.633, 0.050)
La (0.633, 0.367, 0.550)
S (0.250, 0.750, 0.888)
S (0.000, 0.000, 0.500)
S (0.750, 0.250, 0.388)
S (0.250, 0.750, 0.612)
S (0.000, 0.000, 0.000)
S (0.750, 0.250, 0.112)
Cu (0.163, 0.837, 0.750)
Cu (0.837, 0.163, 0.250)
Rb (0.133, 0.867, 0.250)
Rb (0.867, 0.133, 0.750)
Te (0.556, 0.444, 0.750)
Te (0.444, 0.556, 0.250)

Calculated values
The space group is Cmcm (63). The calculation puts the energy at -5.34 eV/atom.



Compound: NaLaAsIr
Source: OQMD via LeMat-Bulk
Functional: PBE
Structure: optimized geometry

Cell: 4.828 4.828 4.828 Å, 60.00 60.00 60.00°
Element x y z (fractional)
Ir (0.250, 0.250, 0.250)
La (0.500, 0.500, 0.500)
As (0.000, 0.000, 0.000)
Na (0.750, 0.750, 0.750)

Calculated values
The space group is F-43m (216). The energy relative to the lowest polymorph listed for this composition comes out at 0.000 eV/atom.



Compound: NbCdTc2
Source: OQMD via LeMat-Bulk
Functional: PBE
Structure: optimized geometry

Cell: 4.549 4.549 4.549 Å, 60.00 60.00 60.00°
Element x y z (fractional)
Tc (0.250, 0.250, 0.250)
Tc (0.000, 0.000, 0.000)
Nb (0.750, 0.750, 0.750)
Cd (0.500, 0.500, 0.500)

Calculated values
The space group is F-43m (216). The calculation puts the formation energy at 0.410 eV per atom.



Compound: TbTe2
Source: OQMD via LeMat-Bulk
Functional: PBE
Structure: optimized geometry

Cell: 4.345 4.345 7.188 Å, 105.91 105.91 58.98°
Element x y z (fractional)
Te (0.749, 0.749, 0.263)
Te (0.251, 0.251, 0.737)
Tb (0.000, 0.000, 0.000)

Calculated values
The space group is C2/m (12). The calculation puts the energy at -4.59 eV/atom.



Compound: NdAgHg
Source: OQMD via LeMat-Bulk
Functional: PBE
Structure: optimized geometry

Cell: 4.898 4.898 4.898 Å, 60.00 60.00 60.00°
Each line ends with the local moment (μB).
Element x y z (fractional)
Hg (0.250, 0.250, 0.250)  0.03
Nd (0.750, 0.750, 0.750)  0.09
Ag (0.000, 0.000, 0.000)  0.02

Calculated values
The space group is F-43m (216). The calculation puts the formation energy at -0.211 eV per atom.